No. 1
# YCoNF2 PBE with a Hubbard U relaxed
data_YCoNF2
_cell_length_a 3.9109
_cell_length_b 3.9109
_cell_length_c 4.0199
_cell_angle_alpha 90.00
_cell_angle_beta 90.00
_cell_angle_gamma 90.00
_space_group_name_H-M_alt 'P 1'
_space_group_IT_number 1
_space_group_name_Hall 'P 1'
loop_
_atom_site_label
_atom_site_type_symbol
_atom_site_fract_x
_atom_site_fract_y
_atom_site_fract_z
_atom_site_occupancy
Y1 Y 0.0000 0.0000 0.0000 1
Co1 Co 0.5000 0.5000 0.5000 1
N1 N 0.5000 0.5000 0.0000 1
F1 F 0.0000 0.5000 0.5000 1
F2 F 0.5000 0.0000 0.5000 1
# Total moment: 0.56 μB/atom
# SG: P4/mmm
# Fermi-level density of states: 1.525 states/eV per cell
# Electronic total energy: -6.18 eV per atom
# Energy above the most stable polymorph in this dataset: 0 meV per atom

***

No. 2
# YCoNF2 PBE with a Hubbard U relaxed
data_YCoNF2
_cell_length_a 4.2790
_cell_length_b 4.2790
_cell_length_c 4.6482
_cell_angle_alpha 90.00
_cell_angle_beta 90.00
_cell_angle_gamma 90.00
_space_group_name_H-M_alt 'P 1'
_space_group_IT_number 1
_space_group_name_Hall 'P 1'
loop_
_atom_site_label
_atom_site_type_symbol
_atom_site_fract_x
_atom_site_fract_y
_atom_site_fract_z
_atom_site_occupancy
Y1 Y 0.0000 0.0000 0.0000 1
Co1 Co 0.5000 0.5000 0.5000 1
N1 N 0.0000 0.0000 0.5000 1
F1 F 0.0000 0.5000 0.0000 1
F2 F 0.5000 0.0000 0.0000 1
# Total moment: 0.55 μB/atom
# SG: P4/mmm
# Fermi-level density of states: 1.652 states/eV per cell
# Electronic total energy: -6.02 eV per atom
# Energy above the most stable polymorph in this dataset: 156 meV per atom

***

No. 3
# NaCo3F PBE with a Hubbard U relaxed
data_NaCo3F
_cell_length_a 4.7311
_cell_length_b 4.7311
_cell_length_c 4.7311
_cell_angle_alpha 90.00
_cell_angle_beta 90.00
_cell_angle_gamma 90.00
_space_group_name_H-M_alt 'P 1'
_space_group_IT_number 1
_space_group_name_Hall 'P 1'
loop_
_atom_site_label
_atom_site_type_symbol
_atom_site_fract_x
_atom_site_fract_y
_atom_site_fract_z
_atom_site_occupancy
Na1 Na 0.0000 0.0000 0.0000 1
Co1 Co 0.0000 0.0000 0.5000 1
Co2 Co 0.0000 0.5000 0.0000 1
Co3 Co 0.5000 0.0000 0.0000 1
F1 F 0.5000 0.5000 0.5000 1
# Total moment: 1.29 μB/atom
# SG: Pm-3m
# Fermi-level density of states: 2.124 states/eV per cell
# Electronic total energy: -1.91 eV per atom
# Energy above the most stable polymorph in this dataset: 1335 meV per atom

***

No. 4
# Na4CoF6 PBE with a Hubbard U relaxed
data_Na4CoF6
_cell_length_a 6.5881
_cell_length_b 6.5881
_cell_length_c 6.5881
_cell_angle_alpha 91.00
_cell_angle_beta 91.00
_cell_angle_gamma 91.00
_space_group_name_H-M_alt 'P 1'
_space_group_IT_number 1
_space_group_name_Hall 'P 1'
loop_
_atom_site_label
_atom_site_type_symbol
_atom_site_fract_x
_atom_site_fract_y
_atom_site_fract_z
_atom_site_occupancy
Na1 Na 0.1047 0.7500 0.3953 1
Na2 Na 0.2500 0.2500 0.2500 1
Na3 Na 0.2500 0.6047 0.8953 1
Na4 Na 0.3953 0.1047 0.7500 1
Na5 Na 0.6047 0.8953 0.2500 1
Na6 Na 0.7500 0.3953 0.1047 1
Na7 Na 0.7500 0.7500 0.7500 1
Na8 Na 0.8953 0.2500 0.6047 1
Co1 Co 0.0000 0.0000 0.0000 1
Co2 Co 0.5000 0.5000 0.5000 1
F1 F 0.0507 0.9297 0.7022 1
F2 F 0.0703 0.2978 0.9493 1
F3 F 0.2022 0.4297 0.5507 1
F4 F 0.2978 0.9493 0.0703 1
F5 F 0.4297 0.5507 0.2022 1
F6 F 0.4493 0.7978 0.5703 1
F7 F 0.5507 0.2022 0.4297 1
F8 F 0.5703 0.4493 0.7978 1
F9 F 0.7022 0.0507 0.9297 1
F10 F 0.7978 0.5703 0.4493 1
F11 F 0.9297 0.7022 0.0507 1
F12 F 0.9493 0.0703 0.2978 1
# Total moment: 0.27 μB/atom
# SG: R-3c
# Fermi-level density of states: 14.459 states/eV per cell
# Electronic total energy: -4.44 eV per atom

***

No. 5
# Na3Co5F12 PBE with a Hubbard U relaxed
data_Na3Co5F12
_cell_length_a 11.2414
_cell_length_b 11.2414
_cell_length_c 11.2414
_cell_angle_alpha 109.47
_cell_angle_beta 109.47
_cell_angle_gamma 109.47
_space_group_name_H-M_alt 'P 1'
_space_group_IT_number 1
_space_group_name_Hall 'P 1'
loop_
_atom_site_label
_atom_site_type_symbol
_atom_site_fract_x
_atom_site_fract_y
_atom_site_fract_z
_atom_site_occupancy
Na1 Na 0.1250 0.2500 0.3750 1
Na2 Na 0.1250 0.3750 0.7500 1
Na3 Na 0.2500 0.3750 0.1250 1
Na4 Na 0.2500 0.8750 0.6250 1
Na5 Na 0.3750 0.1250 0.2500 1
Na6 Na 0.3750 0.7500 0.1250 1
Na7 Na 0.6250 0.2500 0.8750 1
Na8 Na 0.6250 0.8750 0.7500 1
Na9 Na 0.7500 0.1250 0.3750 1
Na10 Na 0.7500 0.6250 0.8750 1
Na11 Na 0.8750 0.6250 0.2500 1
Na12 Na 0.8750 0.7500 0.6250 1
Co1 Co 0.0000 0.0000 0.0000 1
Co2 Co 0.0000 0.0000 0.5000 1
Co3 Co 0.0000 0.5000 0.0000 1
Co4 Co 0.0000 0.5000 0.5000 1
Co5 Co 0.1250 0.7500 0.8750 1
Co6 Co 0.1250 0.8750 0.2500 1
Co7 Co 0.2500 0.1250 0.8750 1
Co8 Co 0.2500 0.6250 0.3750 1
Co9 Co 0.3750 0.2500 0.6250 1
Co10 Co 0.3750 0.6250 0.7500 1
Co11 Co 0.5000 0.0000 0.0000 1
Co12 Co 0.5000 0.0000 0.5000 1
Co13 Co 0.5000 0.5000 0.0000 1
Co14 Co 0.5000 0.5000 0.5000 1
Co15 Co 0.6250 0.3750 0.2500 1
Co16 Co 0.6250 0.7500 0.3750 1
Co17 Co 0.7500 0.3750 0.6250 1
Co18 Co 0.7500 0.8750 0.1250 1
Co19 Co 0.8750 0.1250 0.7500 1
Co20 Co 0.8750 0.2500 0.1250 1
F1 F 0.0286 0.2088 0.1234 1
F2 F 0.0286 0.3199 0.9053 1
F3 F 0.0854 0.7088 0.6801 1
F4 F 0.0854 0.8766 0.4053 1
F5 F 0.0947 0.6234 0.4146 1
F6 F 0.0947 0.9714 0.6801 1
F7 F 0.1234 0.0286 0.2088 1
F8 F 0.1234 0.5947 0.9146 1
F9 F 0.1801 0.2088 0.5854 1
F10 F 0.1801 0.4714 0.5947 1
F11 F 0.2088 0.1234 0.0286 1
F12 F 0.2088 0.5854 0.1801 1
F13 F 0.2912 0.3199 0.9146 1
F14 F 0.2912 0.4714 0.3766 1
F15 F 0.3199 0.9053 0.0286 1
F16 F 0.3199 0.9146 0.2912 1
F17 F 0.3766 0.2912 0.4714 1
F18 F 0.3766 0.5854 0.9053 1
F19 F 0.4053 0.0854 0.8766 1
F20 F 0.4053 0.8199 0.5286 1
F21 F 0.4146 0.0947 0.6234 1
F22 F 0.4146 0.8199 0.7912 1
F23 F 0.4714 0.3766 0.2912 1
F24 F 0.4714 0.5947 0.1801 1
F25 F 0.5286 0.4053 0.8199 1
F26 F 0.5286 0.6234 0.7088 1
F27 F 0.5854 0.1801 0.2088 1
F28 F 0.5854 0.9053 0.3766 1
F29 F 0.5947 0.1801 0.4714 1
F30 F 0.5947 0.9146 0.1234 1
F31 F 0.6234 0.4146 0.0947 1
F32 F 0.6234 0.7088 0.5286 1
F33 F 0.6801 0.0854 0.7088 1
F34 F 0.6801 0.0947 0.9714 1
F35 F 0.7088 0.5286 0.6234 1
F36 F 0.7088 0.6801 0.0854 1
F37 F 0.7912 0.4146 0.8199 1
F38 F 0.7912 0.8766 0.9714 1
F39 F 0.8199 0.5286 0.4053 1
F40 F 0.8199 0.7912 0.4146 1
F41 F 0.8766 0.4053 0.0854 1
F42 F 0.8766 0.9714 0.7912 1
F43 F 0.9053 0.0286 0.3199 1
F44 F 0.9053 0.3766 0.5854 1
F45 F 0.9146 0.1234 0.5947 1
F46 F 0.9146 0.2912 0.3199 1
F47 F 0.9714 0.6801 0.0947 1
F48 F 0.9714 0.7912 0.8766 1
# Total moment: 0.70 μB/atom
# SG: Ia-3d
# Fermi-level density of states: 59.133 states/eV per cell
# Electronic total energy: -4.72 eV per atom

***

No. 6
# NaCoF4 PBE with a Hubbard U relaxed
data_NaCoF4
_cell_length_a 6.8208
_cell_length_b 6.8208
_cell_length_c 6.8208
_cell_angle_alpha 134.19
_cell_angle_beta 134.19
_cell_angle_gamma 66.79
_space_group_name_H-M_alt 'P 1'
_space_group_IT_number 1
_space_group_name_Hall 'P 1'
loop_
_atom_site_label
_atom_site_type_symbol
_atom_site_fract_x
_atom_site_fract_y
_atom_site_fract_z
_atom_site_occupancy
Na1 Na 0.3750 0.1250 0.2500 1
Na2 Na 0.6250 0.8750 0.7500 1
Co1 Co 0.1250 0.3750 0.7500 1
Co2 Co 0.8750 0.6250 0.2500 1
F1 F 0.0293 0.2083 0.3316 1
F2 F 0.1977 0.5293 0.3209 1
F3 F 0.2917 0.1233 0.8209 1
F4 F 0.3767 0.6977 0.1684 1
F5 F 0.6233 0.3023 0.8316 1
F6 F 0.7083 0.8767 0.1791 1
F7 F 0.8023 0.4707 0.6791 1
F8 F 0.9707 0.7917 0.6684 1
# Total moment: 0.67 μB/atom
# SG: I4_1/a
# Fermi-level density of states: 0.000 states/eV per cell
# Electronic total energy: -4.54 eV per atom